Entry 1:
Here is Pr7Si5Ni2 after structural relaxation from Alexandria. Energies are from PBE.

Geometry as extended XYZ:
```
56
Lattice="23.1982 0.0000 0.0000 0.0000 4.3004 0.0000 0.0000 0.0000 13.7286" Properties=species:S:1:pos:R:3 pbc="T T T"
Pr 0.4593 1.0751 1.5871
Pr 1.5810 1.0751 7.4529
Pr 2.4081 3.2253 4.2145
Pr 2.7117 3.2253 10.2886
Pr 3.0892 3.2253 0.3353
Pr 5.2377 1.0751 5.4735
Pr 5.5020 1.0751 9.1143
Pr 6.0971 3.2253 2.2500
Pr 6.3614 3.2253 12.3378
Pr 8.5099 1.0751 7.1996
Pr 8.8874 1.0751 3.4243
Pr 9.1910 1.0751 11.0788
Pr 10.0181 3.2253 0.5886
Pr 11.1398 3.2253 8.4514
Pr 12.0584 1.0751 5.2772
Pr 13.1801 1.0751 13.1400
Pr 14.0072 3.2253 2.6498
Pr 14.3108 3.2253 10.3043
Pr 14.6883 3.2253 6.5291
Pr 16.8369 1.0751 1.3908
Pr 17.1012 1.0751 11.4786
Pr 17.6962 3.2253 4.6143
Pr 17.9605 3.2253 8.2551
Pr 20.1090 1.0751 13.3934
Pr 20.4866 1.0751 3.4400
Pr 20.7901 1.0751 9.5141
Pr 21.6172 3.2253 6.2757
Pr 22.7389 3.2253 12.1415
Si 0.1418 1.0751 4.6822
Si 1.6836 1.0751 12.2747
Si 3.8411 1.0751 2.4667
Si 3.8783 3.2253 7.3135
Si 4.1427 1.0751 12.0355
Si 7.4564 3.2253 5.1712
Si 7.7208 1.0751 0.4492
Si 7.7580 3.2253 9.3310
Si 9.9155 3.2253 5.4104
Si 11.4573 3.2253 11.5465
Si 11.7409 1.0751 2.1821
Si 13.2827 1.0751 8.3183
Si 15.4402 1.0751 4.3976
Si 15.4774 3.2253 13.2795
Si 15.7418 1.0751 8.5575
Si 19.0556 3.2253 1.6932
Si 19.3199 1.0751 6.4152
Si 19.3571 3.2253 11.2619
Si 21.5146 3.2253 1.4540
Si 23.0564 3.2253 9.0464
Ni 0.4349 1.0751 10.2116
Ni 5.2754 1.0751 0.4114
Ni 6.3237 3.2253 7.2757
Ni 11.1642 3.2253 3.3473
Ni 12.0340 1.0751 10.3813
Ni 16.8745 1.0751 6.4529
Ni 17.9228 3.2253 13.3172
Ni 22.7633 3.2253 3.5170
```

Values from the calculation:
Calculated total energy (eV per atom): -5.8019

Entry 2:
Here is Pr2Si2Ni15 after structural relaxation from Alexandria. Energies are from PBE.

Geometry as extended XYZ:
```
19
Lattice="4.1820 2.4145 4.1033 -4.1820 2.4145 4.1033 0.0000 -4.8289 4.1033" Properties=species:S:1:pos:R:3 pbc="T T T"
Pr 0.0000 0.0000 1.8679
Pr 0.0000 0.0000 10.4420
Si 0.0000 0.0000 4.9196
Si 0.0000 0.0000 7.3902
Ni -2.0910 -1.2072 4.1033
Ni 0.0000 -2.3454 3.9733
Ni -2.0312 1.1727 3.9733
Ni -1.2144 -2.1034 6.1549
Ni -2.4288 0.0000 6.1549
Ni -2.0312 -1.1727 8.3366
Ni -2.0910 1.2072 8.2066
Ni 1.2144 -2.1034 6.1549
Ni 0.0000 2.4145 4.1033
Ni -1.2144 2.1034 6.1549
Ni 2.0312 1.1727 3.9733
Ni 2.4288 0.0000 6.1549
Ni 1.2144 2.1034 6.1549
Ni 2.0312 -1.1727 8.3366
Ni 0.0000 2.3454 8.3366
```

Values from the calculation:
Calculated total energy (eV per atom): -5.8720

Entry 3:
Here is Pr2SiNi6 after structural relaxation from Alexandria. Energies are from PBE.

Geometry as extended XYZ:
```
9
Lattice="4.6425 -2.6777 0.0000 4.6425 2.6777 0.0000 -0.0071 0.0000 5.5839" Properties=species:S:1:pos:R:3 pbc="T T T"
Pr 1.5470 0.0000 1.0030
Pr 7.7309 0.0000 4.5809
Si 4.6425 0.0000 0.0000
Ni 3.8651 1.3444 1.7959
Ni 3.0797 0.0000 3.7864
Ni 5.4129 1.3444 3.7880
Ni 3.8651 -1.3444 1.7959
Ni 6.1983 0.0000 1.7975
Ni 5.4129 -1.3444 3.7880
```

Values from the calculation:
Calculated total energy (eV per atom): -5.8788

Entry 4:
Here is PrSi4Ni2 after structural relaxation from Alexandria. Energies are from PBE.

Geometry as extended XYZ:
```
28
Lattice="16.4511 0.0000 0.0000 0.0000 4.0313 0.0000 0.0000 0.0000 6.5201" Properties=species:S:1:pos:R:3 pbc="T T T"
Pr 1.8569 1.0078 0.0050
Pr 6.3686 3.0235 3.2651
Pr 10.0825 1.0078 3.2551
Pr 14.5942 3.0235 6.5151
Si 0.5801 3.0235 4.6898
Si 1.4792 1.0078 3.2546
Si 3.0863 3.0235 2.2186
Si 3.3937 3.0235 4.7575
Si 4.8318 1.0078 1.4975
Si 5.1392 1.0078 5.4787
Si 6.7463 3.0235 6.5147
Si 7.6454 1.0078 1.4297
Si 8.8057 3.0235 5.0904
Si 9.7047 1.0078 0.0055
Si 11.3118 3.0235 1.0415
Si 11.6193 3.0235 5.0227
Si 13.0573 1.0078 1.7626
Si 13.3648 1.0078 4.3015
Si 14.9719 3.0235 3.2656
Si 15.8709 1.0078 1.8304
Ni 0.6906 3.0235 2.2060
Ni 3.7253 1.0078 3.5914
Ni 4.5003 3.0235 0.3313
Ni 7.5350 1.0078 5.4660
Ni 8.9161 3.0235 1.0541
Ni 11.9508 1.0078 6.1889
Ni 12.7258 3.0235 2.9288
Ni 15.7605 1.0078 4.3142
```

Values from the calculation:
Calculated total energy (eV per atom): -5.9273

Entry 5:
Here is PrSi4Ni12 after structural relaxation from Alexandria. Energies are from PBE.

Geometry as extended XYZ:
```
17
Lattice="-3.9040 3.9040 3.9040 3.9040 -3.9040 3.9040 3.9040 3.9040 -3.9040" Properties=species:S:1:pos:R:3 pbc="T T T"
Pr 0.0000 0.0000 0.0000
Si 1.9520 1.9520 -1.9520
Si 1.9520 -1.9520 1.9520
Si -1.9520 1.9520 1.9520
Si 1.9520 1.9520 1.9520
Ni 2.7503 1.2656 0.0000
Ni 5.0577 1.2656 0.0000
Ni 3.9040 -1.1537 2.6384
Ni 2.6384 3.9040 -1.1537
Ni 1.2656 0.0000 2.7503
Ni 3.9040 1.1537 2.6384
Ni 0.0000 2.7503 1.2656
Ni 2.6384 3.9040 1.1537
Ni 1.2656 0.0000 5.0577
Ni 0.0000 5.0577 1.2656
Ni -1.1537 2.6384 3.9040
Ni 1.1537 2.6384 3.9040
```

Values from the calculation:
Calculated total energy (eV per atom): -5.6612

Entry 6:
Here is Pr3Si2Ni after structural relaxation from Alexandria. Energies are from PBE.

Geometry as extended XYZ:
```
24
Lattice="11.8099 0.0000 0.0000 0.0000 4.2587 0.0000 0.0000 0.0000 11.7256" Properties=species:S:1:pos:R:3 pbc="T T T"
Pr 0.7219 1.0647 1.4309
Pr 1.3646 3.1940 6.5517
Pr 2.4724 1.0647 9.4103
Pr 3.4325 3.1940 3.5475
Pr 4.5404 1.0647 0.6889
Pr 5.1830 3.1940 7.2937
Pr 6.6269 1.0647 4.4319
Pr 7.2695 3.1940 11.0367
Pr 8.3774 1.0647 8.1781
Pr 9.3375 3.1940 2.3153
Pr 10.4453 1.0647 5.1739
Pr 11.0880 3.1940 10.2947
Si 0.3829 3.1940 3.6721
Si 2.3776 3.1940 11.6034
Si 3.5273 1.0647 5.7406
Si 5.5220 1.0647 9.5349
Si 6.2878 3.1940 2.1907
Si 8.2826 3.1940 5.9850
Si 9.4323 1.0647 0.1222
Si 11.4270 1.0647 8.0535
Ni 1.5353 1.0647 4.2625
Ni 4.3697 3.1940 10.1253
Ni 7.4402 1.0647 1.6003
Ni 10.2746 3.1940 7.4632
```

Values from the calculation:
Calculated total energy (eV per atom): -5.7839

Entry 7:
Here is Pr2Si3Ni2 after structural relaxation from Alexandria. Energies are from PBE.

Geometry as extended XYZ:
```
7
Lattice="5.5358 -1.9354 0.0000 5.5358 1.9354 0.0000 -3.8449 0.0000 5.8424" Properties=species:S:1:pos:R:3 pbc="T T T"
Pr 0.4961 0.0000 1.5441
Pr 6.7306 0.0000 4.2983
Si 3.6176 0.0000 0.3854
Si 3.6134 0.0000 2.9212
Si 3.6091 0.0000 5.4570
Ni -1.3541 0.0000 4.1884
Ni 8.5808 0.0000 1.6540
```

Values from the calculation:
E above lowest polymorph (eV/f.u.): 0.475
Calculated total energy (eV per atom): -5.9448

Entry 8:
Here is PrSi3Ni after structural relaxation from Alexandria. Energies are from PBE.

Geometry as extended XYZ:
```
10
Lattice="2.2182 -7.1065 0.0000 2.2182 7.1065 0.0000 0.0000 0.0000 5.6359" Properties=species:S:1:pos:R:3 pbc="T T T"
Pr 2.2182 5.8801 4.2269
Pr 2.2182 -5.8801 1.4090
Si 2.2182 5.2343 1.4090
Si 2.2182 3.0029 0.1111
Si 2.2182 3.0029 2.7069
Si 2.2182 -3.0029 2.9290
Si 2.2182 -3.0029 5.5248
Si 2.2182 -5.2343 4.2269
Ni 2.2182 1.2195 4.2269
Ni 2.2182 -1.2195 1.4090
```

Values from the calculation:
Calculated total energy (eV per atom): -5.6168

Entry 9:
Here is PrSiNi3 after structural relaxation from Alexandria. Energies are from PBE.

Geometry as extended XYZ:
```
5
Lattice="3.0908 -3.1058 0.0000 3.0908 3.1058 0.0000 0.0000 0.0000 4.3778" Properties=species:S:1:pos:R:3 pbc="T T T"
Pr 0.0000 0.0000 0.0000
Si 3.0908 0.0000 2.1889
Ni 1.5454 1.5529 2.1889
Ni 1.5454 -1.5529 2.1889
Ni 3.0908 0.0000 0.0000
```

Values from the calculation:
E above lowest polymorph (eV/f.u.): 0.540
Calculated total energy (eV per atom): -5.7761

Entry 10:
Here is PrSi2Ni4 after structural relaxation from Alexandria. Energies are from PBE.

Geometry as extended XYZ:
```
28
Lattice="16.6177 0.0000 0.0000 0.0000 3.9543 0.0000 0.0000 0.0000 6.2579" Properties=species:S:1:pos:R:3 pbc="T T T"
Pr 2.3201 0.9886 0.0531
Pr 5.9888 2.9657 3.1820
Pr 10.6289 0.9886 3.0759
Pr 14.2976 2.9657 6.2049
Si 0.6580 2.9657 4.5991
Si 3.4889 0.9886 2.9394
Si 4.8200 2.9657 6.0684
Si 7.6508 0.9886 1.4701
Si 8.9669 2.9657 4.7878
Si 11.7977 0.9886 0.1896
Si 13.1288 2.9657 3.3185
Si 15.9597 0.9886 1.6589
Ni 0.3039 2.9657 0.8441
Ni 1.0949 0.9886 3.2433
Ni 2.9997 2.9657 4.1451
Ni 3.6085 2.9657 1.7425
Ni 4.7003 0.9886 4.8715
Ni 5.3092 0.9886 1.0161
Ni 7.2139 2.9657 0.1143
Ni 8.0049 0.9886 3.9731
Ni 8.6128 2.9657 2.2849
Ni 9.4038 0.9886 6.1436
Ni 11.3085 2.9657 5.2418
Ni 11.9174 2.9657 1.3864
Ni 13.0092 0.9886 4.5154
Ni 13.6180 0.9886 2.1129
Ni 15.5228 2.9657 3.0147
Ni 16.3138 0.9886 5.4138
```

Values from the calculation:
E above lowest polymorph (eV/f.u.): 0.596
Calculated total energy (eV per atom): -6.0174

Entry 11:
Here is Pr6Si4Ni7 after structural relaxation from Alexandria. Energies are from PBE.

Geometry as extended XYZ:
```
68
Lattice="5.9769 0.0000 0.0000 0.0000 7.4483 0.0000 0.0000 0.0000 29.6721" Properties=species:S:1:pos:R:3 pbc="T T T"
Pr 0.6239 0.8975 5.3943
Pr 0.6239 0.8975 9.4418
Pr 0.6239 2.8267 20.2304
Pr 0.6239 2.8267 24.2778
Pr 0.7281 5.5863 0.0000
Pr 0.7281 5.5863 14.8361
Pr 2.2611 0.0844 22.2541
Pr 2.2611 3.6398 7.4180
Pr 2.2930 0.8561 2.3561
Pr 2.2930 0.8561 12.4799
Pr 2.2930 2.8681 17.1922
Pr 2.2930 2.8681 27.3160
Pr 3.6840 4.5802 2.3561
Pr 3.6840 4.5802 12.4799
Pr 3.6840 6.5923 17.1922
Pr 3.6840 6.5923 27.3160
Pr 3.7158 3.8086 22.2541
Pr 3.7158 7.3639 7.4180
Pr 5.2488 1.8621 0.0000
Pr 5.2488 1.8621 14.8361
Pr 5.3530 4.6216 5.3943
Pr 5.3530 4.6216 9.4418
Pr 5.3530 6.5509 20.2304
Pr 5.3530 6.5509 24.2778
Si 0.6647 0.2674 17.3051
Si 0.6647 0.2674 27.2031
Si 0.6647 3.4568 2.4690
Si 0.6647 3.4568 12.3671
Si 2.3104 5.3797 19.9361
Si 2.3104 5.3797 24.5721
Si 2.3104 5.7928 5.1000
Si 2.3104 5.7928 9.7360
Si 3.6666 1.6555 19.9361
Si 3.6666 1.6555 24.5721
Si 3.6666 2.0687 5.1000
Si 3.6666 2.0687 9.7360
Si 5.3123 3.9916 17.3051
Si 5.3123 3.9916 27.2031
Si 5.3123 7.1810 2.4690
Si 5.3123 7.1810 12.3671
Ni 0.8618 5.5309 18.0821
Ni 0.8618 5.5309 26.4261
Ni 0.8618 5.6416 3.2460
Ni 0.8618 5.6416 11.5901
Ni 1.1233 4.9769 22.2541
Ni 1.1233 6.1956 7.4180
Ni 2.0454 0.1620 19.2310
Ni 2.0454 0.1620 25.2771
Ni 2.0454 3.5622 4.3950
Ni 2.0454 3.5622 10.4411
Ni 2.0923 0.6987 15.3820
Ni 2.0923 0.6987 29.1262
Ni 2.0923 3.0254 0.5460
Ni 2.0923 3.0254 14.2901
Ni 3.8847 4.4229 15.3820
Ni 3.8847 4.4229 29.1262
Ni 3.8847 6.7496 0.5460
Ni 3.8847 6.7496 14.2901
Ni 3.9315 3.8861 19.2310
Ni 3.9315 3.8861 25.2771
Ni 3.9315 7.2864 4.3950
Ni 3.9315 7.2864 10.4411
Ni 4.8537 1.2527 22.2541
Ni 4.8537 2.4714 7.4180
Ni 5.1151 1.8068 18.0821
Ni 5.1151 1.8068 26.4261
Ni 5.1151 1.9174 3.2460
Ni 5.1151 1.9174 11.5901
```

Values from the calculation:
Calculated total energy (eV per atom): -5.9418

Entry 12:
Here is Pr2SiNi3 after structural relaxation from Alexandria. Energies are from PBE.

Geometry as extended XYZ:
```
12
Lattice="0.0000 4.0784 7.0414 4.0642 0.0000 7.0414 4.0642 4.0784 0.0000" Properties=species:S:1:pos:R:3 pbc="T T T"
Pr 6.1583 4.0784 7.0414
Pr 2.0321 2.0392 3.5207
Pr 6.0962 6.1176 10.5620
Pr 1.9701 4.0784 7.0414
Si 4.0642 4.0784 4.7039
Si 4.0642 4.0784 9.3788
Ni 4.0642 4.0784 2.3944
Ni 4.0642 2.0863 5.8456
Ni 4.0642 2.0863 8.2371
Ni 4.0642 6.0705 5.8456
Ni 4.0642 6.0705 8.2371
Ni 4.0642 4.0784 11.6883
```

Values from the calculation:
Calculated total energy (eV per atom): -5.8594

Entry 13:
Here is PrSi3Ni3 after structural relaxation from Alexandria. Energies are from PBE.

Geometry as extended XYZ:
```
14
Lattice="3.0498 1.7608 7.0550 -3.0498 1.7608 7.0550 0.0000 -3.5216 7.0550" Properties=species:S:1:pos:R:3 pbc="T T T"
Pr 0.0000 0.0000 3.5369
Pr 0.0000 0.0000 17.6282
Si -1.4599 0.1585 8.6141
Si -0.8672 -1.1851 12.5510
Si 0.5927 -1.3436 8.6141
Si -0.5927 1.3436 12.5510
Si 0.8672 1.1851 8.6141
Si 1.4599 -0.1585 12.5510
Ni -1.5774 0.2400 6.2746
Ni 0.5809 -1.4860 6.2746
Ni -0.9965 -1.2461 14.8905
Ni 0.9965 1.2461 6.2746
Ni -0.5809 1.4860 14.8905
Ni 1.5774 -0.2400 14.8905
```

Values from the calculation:
E above lowest polymorph (eV/f.u.): 0.000
Calculated total energy (eV per atom): -5.8771

Entry 14:
Here is Pr3Si2Ni2 after structural relaxation from Alexandria. Energies are from PBE.

Geometry as extended XYZ:
```
7
Lattice="-2.0685 2.1718 8.7468 2.0685 -2.1718 8.7468 2.0685 2.1718 -8.7468" Properties=species:S:1:pos:R:3 pbc="T T T"
Pr 0.0000 0.0000 0.0000
Pr 2.0685 0.0000 3.1704
Pr 0.0000 2.1718 5.5764
Si 2.0685 0.0000 6.4040
Si 0.0000 2.1718 2.3428
Ni 0.0000 0.0000 7.5388
Ni 0.0000 0.0000 9.9548
```

Values from the calculation:
Calculated total energy (eV per atom): -5.8366

Entry 15:
Here is Pr2SiNi4 after structural relaxation from Alexandria. Energies are from PBE.

Geometry as extended XYZ:
```
7
Lattice="0.0000 4.1091 4.3701 3.7038 0.0000 4.3701 3.7038 4.1091 0.0000" Properties=species:S:1:pos:R:3 pbc="T T T"
Pr 1.8519 2.0546 0.0000
Pr 1.8519 2.0546 4.3701
Si 3.7038 4.1091 2.1514
Ni 3.7038 2.2001 6.5565
Ni 5.1119 4.1091 6.5511
Ni 2.2957 4.1091 6.5511
Ni 3.7038 6.0181 6.5565
```

Values from the calculation:
Calculated total energy (eV per atom): -5.7127

no.,E_form (uncorrected) (eV per atom)
1,-0.649
2,-0.234
3,-0.360
4,-0.494
5,-0.023
6,-0.623
7,-0.603
8,-0.251
9,-0.267
10,-0.482
11,-0.598
12,-0.472
13,-0.392
14,-0.587
15,-0.269